# 1
Sn12Hg3Au5 (PBE, optimized geometry); E_form = 32 meV/atom
1.0
-2.041 13.871 3.316
-10.347 -4.352 -9.031
-0.469 -7.930 12.019
Sn Au Hg
48 20 12
Cartesian
-5.251 2.563 -1.401
-8.881 -1.999 -1.130
-2.101 -1.124 1.470
-2.866 7.214 9.820
-10.949 -5.048 2.007
-4.945 -1.138 10.034
-6.889 -7.741 3.250
-5.075 -4.469 7.256
-3.820 1.735 2.763
-7.931 9.301 0.062
-7.782 6.058 -0.952
-7.468 -0.622 -4.115
-11.115 5.376 -2.059
-11.298 -1.537 1.415
-6.283 2.850 5.048
-10.084 -7.515 4.394
-3.503 5.698 1.279
-2.353 0.463 7.081
-6.455 -4.228 3.250
-1.908 6.638 4.297
-5.968 9.331 3.053
-4.927 -7.711 6.242
-9.502 -3.893 -6.402
-1.560 3.126 4.888
-6.574 -1.260 1.255
-6.402 5.817 3.053
-3.976 3.589 7.434
-7.798 2.056 1.060
-1.742 -3.786 8.363
-4.854 7.410 5.810
-7.606 -0.973 7.704
-7.912 2.728 -3.730
-10.756 2.714 4.833
-4.409 -0.597 -2.333
-10.504 1.127 -0.777
-5.389 2.211 10.418
-2.774 9.104 1.909
-2.145 -3.318 4.068
-10.712 4.908 2.236
-3.356 5.483 12.706
-1.537 -5.435 11.330
-8.004 -5.820 0.493
-5.059 -0.466 5.243
-11.320 7.025 -5.026
-9.037 -0.146 3.541
-9.991 -5.625 -3.517
-9.354 -4.109 5.024
-8.449 2.187 8.637
-10.447 2.879 -2.825
-4.253 -1.880 0.033
-6.194 4.760 -2.858
-3.411 3.123 0.488
-6.429 0.795 3.152
-8.191 -4.504 -1.852
-9.623 -1.331 -5.571
-8.605 3.470 6.271
-0.234 -3.965 6.010
-4.684 -3.120 4.954
-1.020 6.936 1.658
-8.174 4.710 1.349
-4.666 6.093 8.155
-1.255 2.971 7.668
-5.174 -2.176 -4.516
-9.446 -1.533 5.816
0.000 0.000 0.000
-5.408 -6.141 1.494
-3.234 2.921 11.875
-2.410 -1.290 9.129
-5.508 1.090 7.700
-10.878 1.639 2.096
-3.252 -6.293 8.674
-1.979 -0.050 4.207
-7.388 -6.191 5.701
-8.819 -3.018 1.982
-9.605 7.882 -2.370
-3.196 9.611 4.777
-4.038 4.608 4.322
-9.661 -8.021 1.527
-7.350 0.499 -1.396
-5.470 7.780 0.602

---

# 2
DyZrAu2 (PBE, optimized geometry); E_form = -628 meV/atom
1.0
3.472 0.000 0.000
0.000 3.472 0.000
0.000 0.000 7.209
Zr Au Dy
1 2 1
Cartesian
1.736 1.736 0.000
0.000 0.000 5.532
0.000 0.000 1.677
1.736 1.736 3.604

---

# 3
UVSb2 (PBE, optimized geometry); formation energy without anion corrections = 72 meV/atom
1.0
3.393 0.000 0.000
0.000 3.393 0.000
0.000 0.000 7.540
Sb U V
2 1 1
Cartesian
0.000 0.000 5.961
0.000 0.000 1.579
1.696 1.696 3.770
1.696 1.696 0.000

---

# 4
Na3PaTe4 (PBE, optimized geometry); formation energy without anion corrections = -942 meV/atom
1.0
-4.170 -6.435 -1.155
7.713 -1.792 0.334
-0.670 -1.194 9.066
Na Te Pa
6 8 2
Cartesian
-1.457 -2.347 5.320
-3.383 -5.282 2.590
2.553 -2.969 3.405
0.642 -5.878 0.479
2.231 -3.543 7.765
0.320 -6.452 4.840
1.232 -8.886 7.192
-0.969 -4.688 7.582
1.641 -0.535 1.052
3.842 -4.732 0.663
-0.373 -3.962 2.771
3.245 -5.459 5.474
5.520 -1.902 3.478
-2.648 -7.518 4.767
-1.134 -1.772 0.950
-3.706 -5.857 6.961

---

# 5
LiPuCoH6 (PBE, optimized geometry); final energy = -45.63 eV/cell
1.0
4.379 0.000 0.000
2.190 3.793 0.000
0.000 0.000 4.198
H Li Pu Co
6 1 1 1
Cartesian
3.177 1.834 1.005
1.202 1.835 1.005
2.190 0.124 3.193
2.190 0.124 1.005
1.202 1.834 3.193
3.177 1.834 3.193
4.379 2.528 2.099
4.379 0.000 4.198
2.190 1.264 2.099

---

# 6
BeCr2Ir2 (PBE, optimized geometry); E_form = 489 meV/atom
1.0
-1.920 1.920 4.993
1.920 -1.920 4.993
1.920 1.920 -4.993
Cr Ir Be
2 2 1
Cartesian
0.000 0.000 4.021
0.000 0.000 5.966
0.000 1.920 2.497
1.920 0.000 2.497
0.000 0.000 0.000

---

# 7
VCd2Bi (PBE, optimized geometry); E_form = 660 meV/atom
1.0
-0.309 -2.207 -2.352
0.640 -3.117 0.609
-10.746 -3.424 2.393
V Cd Bi
1 2 1
Cartesian
0.000 0.000 0.000
-8.061 -3.016 1.657
-2.353 -5.732 -1.007
-5.207 -4.374 0.325

---

# 8
Sm8Ge3Se4S (PBE, optimized geometry); formation energy without anion corrections = -1567 meV/atom
1.0
-3.644 -6.196 4.303
3.887 -5.659 -4.856
4.479 5.825 4.024
Ge Se Sm S
3 4 8 1
Cartesian
0.121 -5.927 -0.276
2.361 -3.015 1.736
4.183 0.083 -0.416
-1.822 -3.098 2.152
2.240 2.912 2.012
0.000 0.000 0.000
0.417 -0.185 4.164
2.371 -5.944 1.605
-1.683 -6.100 2.004
2.351 -0.086 1.868
0.129 -3.018 -0.137
6.405 0.070 1.468
4.592 -3.012 3.609
0.545 -3.202 4.006
4.177 -2.828 -0.534
1.943 -2.829 -2.428

---

# 9
Nd2SmN2 (PBE, optimized geometry); formation energy without anion corrections = -1126 meV/atom
1.0
-3.312 -1.147 0.955
1.096 -0.284 -3.453
3.445 -8.400 1.855
Sm Nd N
1 2 2
Cartesian
0.066 -4.774 1.405
0.734 -7.902 -0.039
0.494 -1.929 -0.604
-0.870 -3.964 -0.870
2.098 -5.867 0.227

---

# 10
MgTi2FeBr (PBE, optimized geometry); formation energy without anion corrections = 837 meV/atom
1.0
4.639 0.000 0.000
0.000 4.639 0.000
0.000 0.000 4.870
Ti Br Mg Fe
2 1 1 1
Cartesian
2.319 0.000 0.000
0.000 2.319 0.000
0.000 0.000 0.000
0.000 0.000 2.435
2.319 2.319 2.435

---

# 11
UTlCdO6 (PBE, optimized geometry); formation energy without anion corrections = -1591 meV/atom
1.0
-1.590 5.424 -0.576
-1.621 -2.965 4.567
7.929 2.818 4.643
Cd O U Tl
2 12 2 2
Cartesian
0.000 0.000 0.000
3.964 1.409 2.322
4.376 0.871 4.551
0.342 4.405 4.083
5.784 3.174 5.483
4.296 3.048 8.100
1.821 2.007 3.013
5.758 0.618 7.079
-1.040 4.658 1.555
-1.066 2.102 3.151
2.897 3.269 5.621
2.905 0.687 7.175
1.813 4.589 1.459
0.422 2.229 0.534
0.382 3.332 2.299
4.336 1.944 6.335
4.346 4.741 4.621
0.372 0.535 4.013

---

# 12
TlTc2Rh (PBE, optimized geometry); E_form = 395 meV/atom
1.0
4.975 0.002 -0.004
4.127 2.778 -0.004
0.877 0.268 4.734
Tc Tl Rh
2 1 1
Cartesian
5.065 1.546 2.206
9.027 2.756 0.149
7.485 2.285 3.544
2.495 0.762 1.181